# AgMoF5 (PBE with a Hubbard U, optimized geometry)
data_AgMoF5
_symmetry_space_group_name_H-M 'C 1 2/c 1'
_symmetry_Int_Tables_number 15
_symmetry_space_group_name_Hall '-C 2yc'
_cell_length_a 9.5115
_cell_length_b 7.0491
_cell_length_c 8.1999
_cell_angle_alpha 90.00
_cell_angle_beta 114.69
_cell_angle_gamma 90.00
loop_
_atom_site_label
_atom_site_type_symbol
_atom_site_fract_x
_atom_site_fract_y
_atom_site_fract_z
Ag1 Ag 0.0000 0.0256 0.2500
Mo1 Mo 0.0000 0.5000 0.0000
F1 F 0.0000 0.4424 0.2500
F2 F 0.0237 0.2236 0.9826
F3 F 0.2253 0.4691 0.6150
# * spin magnetization: 1.96 μB/f.u.
# * DFT total energy: -4.866 eV/atom
# * ρ: 4.0 g/cm³